The following is a GGA-PBE calculation of a relaxed KIn6Pd6 crystal, from the Alexandria database.

theoretical density	8.746	g/cm³
crystal system	orthorhombic
formation enthalpy at 0 K	-0.43	eV per atom
calculated total energy	-4.1731	eV per atom

The structure in CIF format:
```
data_KIn6Pd6
_chemical_formula_sum 'K2 In12 Pd12'
_cell_length_a 5.6660
_cell_length_b 9.2478
_cell_length_c 9.9035
_cell_angle_alpha 90.00
_cell_angle_beta 90.00
_cell_angle_gamma 90.00
_space_group_name_H-M_alt 'I m m m'
_space_group_IT_number 71
_space_group_name_Hall '-I 2 2'
loop_
_atom_site_label
_atom_site_type_symbol
_atom_site_fract_x
_atom_site_fract_y
_atom_site_fract_z
K1 K 0.0000 0.0000 0.0000
In1 In 0.0000 0.0000 0.3405
In2 In 0.0000 0.3346 0.0000
In3 In 0.0000 0.5000 0.3243
Pd1 Pd 0.0000 0.2559 0.5000
Pd2 Pd 0.2500 0.2500 0.2500
```